w | RbCoIN2: optimized geometry, PBE.

The total magnetization comes out at 1.0 μB/cell.

a = 4.2722 Å, b = 4.2722 Å, c = 5.4707 Å
α = 90.00°, β = 90.00°, γ = 90.00°
Last column: nearest neighbours and their distance in Å.
Space group P4/mmm (No. 123)
Inequivalent atoms, fractional coordinates:
Rb1 0.0000 0.0000 0.0000  4 I 3.02
Co1 0.5000 0.5000 0.5000  4 N 2.14
I1 0.5000 0.5000 0.0000  2 Co 2.74, 4 Rb 3.02
N1 0.0000 0.5000 0.5000  2 Co 2.14

---

x | RbCoIN2: optimized geometry, PBE.

The total magnetization comes out at 7.5 μB/cell.

a = 5.1952 Å, b = 5.1952 Å, c = 7.3888 Å
α = 90.00°, β = 90.00°, γ = 90.00°
Last column: nearest neighbours and their distance in Å.
Space group P4/mmm (No. 123)
Inequivalent atoms, fractional coordinates:
Rb1 0.0000 0.0000 0.0000  4 N 2.60
Co1 0.5000 0.5000 0.5000  4 I 3.67
I1 0.0000 0.0000 0.5000  4 Co 3.67, 2 Rb 3.69
N1 0.0000 0.5000 0.0000  2 Rb 2.60

---

Q: Which of them is the most stable? A: w.

---

w | Ce3Y: optimized geometry, PBE.

The total magnetization comes out at 1.7 μB/cell.

a = 4.8796 Å, b = 4.8796 Å, c = 4.8796 Å
α = 90.00°, β = 90.00°, γ = 90.00°
Last column: nearest neighbours and their distance in Å.
Space group Pm-3m (No. 221)
Inequivalent atoms, fractional coordinates:
Ce1 0.0000 0.0000 0.5000  8 Ce 3.45, 4 Y 3.45
Y1 0.5000 0.5000 0.5000  12 Ce 3.45

---

x | Ce3Y: optimized geometry, PBE.

The total magnetization comes out at 0.0 μB/cell.

a = 3.3179 Å, b = 4.4053 Å, c = 7.7242 Å
α = 90.00°, β = 90.00°, γ = 90.00°
Last column: nearest neighbours and their distance in Å.
Space group Pmm2 (No. 25)
Inequivalent atoms, fractional coordinates:
Ce1 0.0000 0.0000 0.0000  2 Ce 2.82
Ce2 0.0000 0.5000 0.2286  2 Ce 2.82
Ce3 0.5000 0.5000 0.7988  6 Ce 3.17-3.32, 2 Y 3.26
Y1 0.5000 0.0000 0.4883  6 Ce 3.26-3.41, 2 Y 3.32

---

Q: Which of them is the most stable? A: w.

---

w | NiAgP2: optimized geometry, PBE.

The total magnetization comes out at 0.0 μB/cell.

a = 6.5519 Å, b = 3.5137 Å, c = 5.4306 Å
α = 90.00°, β = 92.29°, γ = 90.00°
Last column: nearest neighbours and their distance in Å.
Space group C2/m (No. 12)
Inequivalent atoms, fractional coordinates:
Ni1 0.0000 0.0000 0.0000  6 P 2.28-2.31
Ag1 0.0000 0.0000 0.5000  2 Ni 2.72, 6 P 2.73-2.84
P1 0.1755 0.5000 0.8302  3 Ni 2.28-2.31

---

x | NiAgP2: optimized geometry, PBE.

The total magnetization comes out at 0.0 μB/cell.

a = 3.5030 Å, b = 4.0647 Å, c = 4.0957 Å
α = 90.00°, β = 90.00°, γ = 90.00°
Last column: nearest neighbours and their distance in Å.
Space group Pmmm (No. 47)
Inequivalent atoms, fractional coordinates:
Ni1 0.0000 0.0000 0.0000  8 P 2.68-2.69, 4 Ag 2.89
Ag1 0.0000 0.5000 0.5000  8 P 2.68-2.69, 4 Ni 2.89
P1 0.5000 0.0000 0.5000  4 Ag 2.68, 4 Ni 2.69, 4 P 2.89
P2 0.5000 0.5000 0.0000  4 Ni 2.68, 4 Ag 2.69, 4 P 2.89

---

Q: Which of them is the most stable? A: w.

---

w | KBaLa2: optimized geometry, PBE.

The total magnetization comes out at 0.0 μB/cell.

a = 9.0813 Å, b = 9.0813 Å, c = 9.0813 Å
α = 90.00°, β = 90.00°, γ = 90.00°
Last column: nearest neighbours and their distance in Å.
Space group Fm-3m (No. 225)
Inequivalent atoms, fractional coordinates:
K1 0.0000 0.0000 0.0000  8 La 3.93
Ba1 0.0000 0.0000 0.5000  8 La 3.93
La1 0.2500 0.2500 0.2500  4 Ba 3.93, 4 K 3.93

---

x | KBaLa2: optimized geometry, PBE.

The total magnetization comes out at 0.0 μB/cell.

a = 5.3673 Å, b = 5.3673 Å, c = 13.0425 Å
α = 90.00°, β = 90.00°, γ = 90.00°
Last column: nearest neighbours and their distance in Å.
Space group I4/mmm (No. 139)
Inequivalent atoms, fractional coordinates:
K1 0.0000 0.0000 0.0000  4 Ba 3.80, 8 La 4.22
Ba1 0.0000 0.0000 0.5000  4 K 3.80, 8 La 4.22
La1 0.0000 0.5000 0.2500  4 La 3.80, 4 Ba 4.22, 4 K 4.22

---

Q: Which of them is the most stable? A: x.